Record 1
The following is a PBE calculation of an optimized crystal structure of PmHo2Se4, from Alexandria via LeMat-Bulk.

The space group is Cmcm (No. 63) and the conventional cell measures 4.0059, 13.4354 and 13.8279 Å, with angles of 90.00, 90.00 and 90.00 degrees. The asymmetric unit holds Pm at (0.0000, 0.1250, 0.2500), Ho at (0.0000, 0.3696, 0.0684), Se at (0.0000, 0.0000, 0.0000), Se at (0.0000, 0.2745, 0.6200) and Se at (0.0000, 0.4629, 0.2500).

As for the energy relative to the elements, uncorrected: -1.86 eV per atom. The calculation puts the magnetic moment at 0.00 μB/f.u. The calculation puts the calculated total energy at -0.214 Ha/atom. The calculation puts the energy above the lowest structure with this stoichiometry at 28.2 meV per atom.


Record 2
The following is a PBE calculation of an optimized crystal structure of PmHoSiSe, from Alexandria via LeMat-Bulk.

The space group is R3m (No. 160, hexagonal axes) and the conventional cell measures 4.1504, 4.1504 and 20.6225 Å, with angles of 90.00, 90.00 and 120.00 degrees. The asymmetric unit holds Pm at (0.0000, 0.0000, 0.0000), Ho at (0.0000, 0.0000, 0.4916), Si at (0.0000, 0.0000, 0.7482) and Se at (0.0000, 0.0000, 0.2424).

As for the energy relative to the elements, uncorrected: -1.29 eV per atom. The calculation puts the magnetic moment at 0.00 μB/f.u. The calculation puts the calculated total energy at -0.215 Ha/atom.


Record 3
The following is a PBE calculation of an optimized crystal structure of PmSmHo2Se4, from Alexandria via LeMat-Bulk.

The space group is P2/m (No. 10) and the conventional cell measures 7.0786, 4.0568 and 7.2746 Å, with angles of 90.00, 108.70 and 90.00 degrees. The asymmetric unit holds Pm at (0.0000, 0.0000, 0.0000), Sm at (0.5000, 0.5000, 0.0000), Ho at (0.0000, 0.5000, 0.5000), Ho at (0.5000, 0.0000, 0.5000), Se at (0.2467, 0.0000, 0.7378) and Se at (0.2553, 0.5000, 0.2629).

As for the energy relative to the elements, uncorrected: -1.78 eV per atom. The calculation puts the magnetic moment at 0.00 μB/f.u. The calculation puts the calculated total energy at -0.215 Ha/atom.